CeMn2 after structural relaxation, computed with PBE.

Properties
DFT total energy   -7.928 eV/atom
D(E_F)   4.9 states/eV/cell
Energy relative to the elements   0.163 eV/atom

Lattice parameters (Å, degrees): 6.0677 6.0677 6.0677 152.92 152.92 38.67
With the nearest neighbours (Å) after each atom.
Positions (direct):
Ce: 0.0000 0.0000 0.0000  4 Ce 2.84, 8 Mn 3.05
Mn: 0.2993 0.2993 0.0000  4 Mn 2.30
Mn: 0.7007 0.7007 0.0000  4 Mn 2.30


GaAsC2O after structural relaxation, computed with PBE.

Properties
DFT total energy   -4.275 eV/atom
D(E_F)   2.2 states/eV/cell

Lattice parameters (Å, degrees): 3.6091 3.6091 7.6072 90.00 90.00 90.00
With the nearest neighbours (Å) after each atom.
Positions (direct):
Ga: 0.0000 0.0000 0.0000  4 O 2.55
As: 0.0000 0.0000 0.5000  4 C 1.80
C: 0.0000 0.5000 0.5000  2 As 1.80
C: 0.5000 0.0000 0.5000  2 As 1.80
O: 0.5000 0.5000 0.0000  4 Ga 2.55


LaSiAu after structural relaxation, computed with PBE.

Properties
DFT total energy   -5.378 eV/atom
D(E_F)   2.6 states/eV/cell

Lattice parameters (Å, degrees): 4.1883 4.3898 7.6319 90.00 90.00 90.00
With the nearest neighbours (Å) after each atom.
Positions (direct):
La: 0.0000 0.0000 0.0000  8 Au 3.34, 4 Si 3.35
La: 0.0000 0.5000 0.5000  4 Au 3.20, 8 Si 3.26
Si: 0.5000 0.0000 0.3425  1 Si 2.40, 2 Au 2.51
Si: 0.5000 0.0000 0.6575  1 Si 2.40, 2 Au 2.51
Au: 0.5000 0.5000 0.1825  2 Si 2.51, 1 Au 2.79
Au: 0.5000 0.5000 0.8175  2 Si 2.51, 1 Au 2.79